# Dy2YLu4Ni2Te2 (PBE-GGA, optimized geometry)
# V, Å³/atom: 25.33
# M_tot, μB/atom: 0.001
# Raw total energy, eV/atom: -5.344
# Polymorph energy (0 for the lowest one), meV/atom: 0
# Crystal system: orthorhombic
data_Dy2YLu4Ni2Te2
_cell_length_a 3.832
_cell_length_b 15.433
_cell_length_c 9.422
_cell_angle_alpha 90.00
_cell_angle_beta 90.00
_cell_angle_gamma 90.00
_symmetry_space_group_name_H-M 'I m m 2'
_symmetry_Int_Tables_number 44
loop_
_symmetry_equiv_pos_as_xyz
'x,y,z'
'-x,-y,z'
'-x,y,z'
'x,-y,z'
'x+1/2,y+1/2,z+1/2'
'-x+1/2,-y+1/2,z+1/2'
'-x+1/2,y+1/2,z+1/2'
'x+1/2,-y+1/2,z+1/2'
loop_
_atom_site_label
_atom_site_fract_x
_atom_site_fract_y
_atom_site_fract_z
_atom_site_occupancy
Dy1 0.000 0.148 0.000 1
Y1 0.000 0.500 0.733 1
Lu1 0.000 0.185 0.354 1
Lu2 0.000 0.366 0.149 1
Ni1 0.000 0.260 0.663 1
Te1 0.000 0.000 0.500 1
Te2 0.000 0.500 0.393 1